Record 1
Below is a geometry-optimized CePdPt3 structure, with properties calculated at the PBE level.

Polymorph energy (0 for the lowest one), meV per atom: 104

CIF file:
```
data_CePdPt3
_chemical_formula_sum 'Ce1 Pd1 Pt3'
_symmetry_space_group_name_H-M 'P 1'
_symmetry_Int_Tables_number 1
_symmetry_space_group_name_Hall 'P 1'
_cell_length_a 7.845
_cell_length_b 5.391
_cell_length_c 5.384
_cell_angle_alpha 119.95
_cell_angle_beta 90.00
_cell_angle_gamma 46.52
loop_
_atom_site_label
_atom_site_fract_x
_atom_site_fract_y
_atom_site_fract_z
_atom_site_occupancy
Pt1 0.000 0.500 0.000 1
Pt2 0.000 0.000 0.500 1
Pt3 0.000 0.500 0.500 1
Pd1 0.000 0.000 0.000 1
Ce1 0.500 0.000 0.000 1
```

---

Record 2
Below is a geometry-optimized BaTl2Si structure, with properties calculated at the PBE level.

Raw formation energy, kJ/mol of formula units: -36
Polymorph energy (0 for the lowest one), meV per atom: 24

CIF file:
```
data_BaTl2Si
_chemical_formula_sum 'Ba1 Tl2 Si1'
_symmetry_space_group_name_H-M 'P 1'
_symmetry_Int_Tables_number 1
_symmetry_space_group_name_Hall 'P 1'
_cell_length_a 4.803
_cell_length_b 4.803
_cell_length_c 6.901
_cell_angle_alpha 69.59
_cell_angle_beta 69.59
_cell_angle_gamma 60.08
loop_
_atom_site_label
_atom_site_fract_x
_atom_site_fract_y
_atom_site_fract_z
_atom_site_occupancy
Ba1 0.750 0.750 0.750 1
Tl1 0.527 0.527 0.420 1
Tl2 0.973 0.973 0.080 1
Si1 0.250 0.250 0.250 1
```

---

Record 3
Below is a geometry-optimized TaGa2Si2 structure, with properties calculated at the PBE level.

Raw formation energy, kJ/mol of formula units: 48

CIF file:
```
data_TaGa2Si2
_chemical_formula_sum 'Ta2 Ga4 Si4'
_symmetry_space_group_name_H-M 'P 1'
_symmetry_Int_Tables_number 1
_symmetry_space_group_name_Hall 'P 1'
_cell_length_a 6.690
_cell_length_b 6.690
_cell_length_c 3.621
_cell_angle_alpha 90.00
_cell_angle_beta 90.00
_cell_angle_gamma 90.00
loop_
_atom_site_label
_atom_site_fract_x
_atom_site_fract_y
_atom_site_fract_z
_atom_site_occupancy
Ga1 0.824 0.324 0.500 1
Ga2 0.176 0.676 0.500 1
Ga3 0.324 0.176 0.500 1
Ga4 0.676 0.824 0.500 1
Ta1 0.000 0.000 0.000 1
Ta2 0.500 0.500 0.000 1
Si1 0.129 0.371 0.000 1
Si2 0.629 0.129 0.000 1
Si3 0.371 0.871 0.000 1
Si4 0.871 0.629 0.000 1
```

---

Record 4
Below is a geometry-optimized PmDy5Ag4 structure, with properties calculated at the PBE level.

E_tot, eV/atom: -4.167

CIF file:
```
data_PmDy5Ag4
_chemical_formula_sum 'Pm1 Dy5 Ag4'
_symmetry_space_group_name_H-M 'P 1'
_symmetry_Int_Tables_number 1
_symmetry_space_group_name_Hall 'P 1'
_cell_length_a 3.611
_cell_length_b 3.611
_cell_length_c 19.774
_cell_angle_alpha 90.00
_cell_angle_beta 90.00
_cell_angle_gamma 90.00
loop_
_atom_site_label
_atom_site_fract_x
_atom_site_fract_y
_atom_site_fract_z
_atom_site_occupancy
Ag1 0.000 0.000 0.220 1
Ag2 0.000 0.000 0.407 1
Ag3 0.000 0.000 0.780 1
Ag4 0.000 0.000 0.593 1
Dy1 0.500 0.500 0.687 1
Dy2 0.500 0.500 0.313 1
Dy3 0.500 0.500 0.500 1
Dy4 0.500 0.500 0.128 1
Dy5 0.500 0.500 0.872 1
Pm1 0.000 0.000 0.000 1
```

---

Record 5
Below is a geometry-optimized SnPd6Au structure, with properties calculated at the PBE level.

Polymorph energy (0 for the lowest one), meV per atom: 98

CIF file:
```
data_SnPd6Au
_chemical_formula_sum 'Sn1 Pd6 Au1'
_symmetry_space_group_name_H-M 'P 1'
_symmetry_Int_Tables_number 1
_symmetry_space_group_name_Hall 'P 1'
_cell_length_a 6.997
_cell_length_b 7.561
_cell_length_c 5.134
_cell_angle_alpha 42.90
_cell_angle_beta 47.33
_cell_angle_gamma 57.68
loop_
_atom_site_label
_atom_site_fract_x
_atom_site_fract_y
_atom_site_fract_z
_atom_site_occupancy
Pd1 0.455 0.248 0.348 1
Pd2 0.055 0.547 0.149 1
Pd3 0.249 0.055 0.241 1
Pd4 0.751 0.945 0.759 1
Pd5 0.945 0.453 0.851 1
Pd6 0.545 0.752 0.652 1
Sn1 0.500 0.500 0.500 1
Au1 0.000 0.000 0.000 1
```

---

Record 6
Below is a geometry-optimized K3Li2RhF9 structure, with properties calculated at the PBE level.

Raw formation energy, kJ/mol of formula units: -3556

CIF file:
```
data_K3Li2RhF9
_chemical_formula_sum 'K3 Li2 Rh1 F9'
_symmetry_space_group_name_H-M 'P 1'
_symmetry_Int_Tables_number 1
_symmetry_space_group_name_Hall 'P 1'
_cell_length_a 5.841
_cell_length_b 5.841
_cell_length_c 7.388
_cell_angle_alpha 90.00
_cell_angle_beta 90.00
_cell_angle_gamma 120.00
loop_
_atom_site_label
_atom_site_fract_x
_atom_site_fract_y
_atom_site_fract_z
_atom_site_occupancy
F1 0.500 0.500 0.000 1
F2 0.842 0.158 0.652 1
F3 0.842 0.685 0.652 1
F4 0.685 0.842 0.348 1
F5 0.158 0.842 0.348 1
F6 0.158 0.315 0.348 1
F7 0.000 0.500 0.000 1
F8 0.500 0.000 0.000 1
F9 0.315 0.158 0.652 1
K1 0.000 0.000 0.000 1
K2 0.667 0.333 0.293 1
K3 0.333 0.667 0.707 1
Li1 0.333 0.667 0.107 1
Li2 0.667 0.333 0.893 1
Rh1 0.000 0.000 0.500 1
```

---

| no. | magnetization (μB/atom) | N(E_F) (states/eV per cell) |
| --- | --- | --- |
| 1 | 0.11 | 6.9 |
| 2 | 0.00 | 0.9 |
| 3 | 0.00 | 5.3 |
| 4 | 0.00 | 7.7 |
| 5 | 0.00 | 6.3 |
| 6 | 0.07 | 11.7 |